Version i
The following is a DFT calculation (PBE-GGA) of an optimized crystal structure of Ni6PdPt2.

Calculated density in g cm⁻³: 11.9

a b c (Å): 8.355 4.818 5.863
angles (deg): 90.00 90.01 90.00
Space group C2/m (No. 12)
Unique sites:
Ni: 0.086 0.242 0.161 [8 per cell]
Ni: 0.173 0.500 0.837 [4 per cell]
Pd: 0.000 0.500 0.500 [2 per cell]
Pt: 0.167 0.000 0.603 [4 per cell]

Version ii
The following is a DFT calculation (PBE-GGA) of an optimized crystal structure of Ni6PdPt2.

Calculated density in g cm⁻³: 12.5

a b c (Å): 7.770 7.770 3.750
angles (deg): 90.00 90.00 90.00
Space group P4_2/mnm (No. 136)
Unique sites:
Ni: 0.007 0.342 0.000 [8 per cell]
Ni: 0.165 0.835 0.500 [4 per cell]
Pd: 0.000 0.000 0.000 [2 per cell]
Pt: 0.177 0.177 0.500 [4 per cell]

How far above the most stable structure does each one sit? In eV/atom: version i 0.257; version ii 0.000.

Version i
The following is a DFT calculation (PBE-GGA) of an optimized crystal structure of NiPd4Pt2.

Calculated density in g cm⁻³: 10.9

a b c (Å): 4.582 4.582 12.640
angles (deg): 90.00 90.00 90.00
Space group I4/mmm (No. 139)
Unique sites:
Ni: 0.000 0.000 0.000 [2 per cell]
Pd: 0.000 0.000 0.189 [4 per cell]
Pd: 0.000 0.500 0.000 [4 per cell]
Pt: 0.000 0.000 0.390 [4 per cell]

Version ii
The following is a DFT calculation (PBE-GGA) of an optimized crystal structure of NiPd4Pt2.

Calculated density in g cm⁻³: 13.7

a b c (Å): 2.750 27.950 2.750
angles (deg): 90.00 90.00 90.00
Space group Cmmm (No. 65)
Unique sites:
Ni: 0.000 0.000 0.000 [2 per cell]
Pd: 0.000 0.136 0.000 [4 per cell]
Pd: 0.000 0.438 0.500 [4 per cell]
Pt: 0.000 0.291 0.500 [4 per cell]

How far above the most stable structure does each one sit? In eV/atom: version i 0.726; version ii 0.000.

Version i
The following is a DFT calculation (PBE-GGA) of an optimized crystal structure of NiPd8Pt6.

Calculated density in g cm⁻³: 13.4

a b c (Å): 7.4099 7.4099 16.2256
angles (deg): 90.00 90.00 120.00
Space group R-3 (No. 148, hexagonal axes)
Unique sites:
Ni: 0.0000 0.0000 0.0000 [3 per cell]
Pd: 0.0000 0.0000 0.3130 [6 per cell]
Pd: 0.0096 0.3544 0.8770 [18 per cell]
Pt: 0.0075 0.3571 0.7136 [18 per cell]

Version ii
The following is a DFT calculation (PBE-GGA) of an optimized crystal structure of NiPd8Pt6.

Calculated density in g cm⁻³: 13.7

a b c (Å): 7.3818 7.3818 5.3605
angles (deg): 90.00 90.00 120.00
Space group P-3 (No. 147)
Unique sites:
Ni: 0.0000 0.0000 0.0000 [1 per cell]
Pd: 0.0353 0.6814 0.6055 [6 per cell]
Pd: 0.3333 0.6667 0.2366 [2 per cell]
Pt: 0.0255 0.3471 0.8930 [6 per cell]

How far above the most stable structure does each one sit? In eV/atom: version i 0.011; version ii 0.000.

Version i
The following is a DFT calculation (PBE-GGA) of an optimized crystal structure of Ni6Pd2Pt.

Calculated density in g cm⁻³: 11.2

a b c (Å): 7.760 7.760 3.751
angles (deg): 90.00 90.00 90.00
Space group P4_2/mnm (No. 136)
Unique sites:
Ni: 0.008 0.342 0.000 [8 per cell]
Ni: 0.164 0.836 0.500 [4 per cell]
Pd: 0.177 0.177 0.500 [4 per cell]
Pt: 0.000 0.000 0.000 [2 per cell]

Version ii
The following is a DFT calculation (PBE-GGA) of an optimized crystal structure of Ni6Pd2Pt.

Calculated density in g cm⁻³: 10.8

a b c (Å): 7.645 4.901 6.478
angles (deg): 90.00 105.54 90.00
Space group C2/m (No. 12)
Unique sites:
Ni: 0.043 0.240 0.186 [8 per cell]
Ni: 0.242 0.500 0.981 [4 per cell]
Pd: 0.178 0.000 0.590 [4 per cell]
Pt: 0.000 0.500 0.500 [2 per cell]

How far above the most stable structure does each one sit? In eV/atom: version i 0.000; version ii 0.116.

Version i
The following is a DFT calculation (PBE-GGA) of an optimized crystal structure of Ni2PdPt5.

Calculated density in g cm⁻³: 16.8

a b c (Å): 6.643 6.643 10.747
angles (deg): 90.00 90.00 90.00
Space group I4/mcm (No. 140)
Unique sites:
Ni: 0.144 0.356 0.000 [8 per cell]
Pd: 0.000 0.000 0.250 [4 per cell]
Pt: 0.000 0.000 0.000 [4 per cell]
Pt: 0.149 0.351 0.346 [16 per cell]

Version ii
The following is a DFT calculation (PBE-GGA) of an optimized crystal structure of Ni2PdPt5.

Calculated density in g cm⁻³: 16.9

a b c (Å): 4.723 5.293 5.502
angles (deg): 105.06 90.07 116.40
Space group P1 (No. 1)
Unique sites:
Ni: 0.000 0.000 0.000 [1 per cell]
Ni: 0.004 0.001 0.494 [1 per cell]
Pd: 0.087 0.491 0.868 [1 per cell]
Pt: 0.087 0.494 0.369 [1 per cell]
Pt: 0.493 0.004 0.749 [1 per cell]
Pt: 0.500 0.005 0.250 [1 per cell]
Pt: 0.597 0.513 0.124 [1 per cell]
Pt: 0.600 0.518 0.625 [1 per cell]

How far above the most stable structure does each one sit? In eV/atom: version i 0.100; version ii 0.000.

Version i
The following is a DFT calculation (PBE-GGA) of an optimized crystal structure of Ni3Pd2Pt2.

Calculated density in g cm⁻³: 13.2

a b c (Å): 2.697 6.143 6.803
angles (deg): 63.51 78.63 77.37
Space group P-1 (No. 2)
Unique sites:
Ni: 0.000 0.000 0.000 [1 per cell]
Ni: 0.310 0.140 0.247 [2 per cell]
Pd: 0.358 0.444 0.838 [2 per cell]
Pt: 0.086 0.253 0.570 [2 per cell]

Version ii
The following is a DFT calculation (PBE-GGA) of an optimized crystal structure of Ni3Pd2Pt2.

Calculated density in g cm⁻³: 13.3

a b c (Å): 2.707 26.629 2.697
angles (deg): 90.00 90.00 90.00
Space group Cmmm (No. 65)
Unique sites:
Ni: 0.000 0.000 0.000 [2 per cell]
Ni: 0.000 0.441 0.500 [4 per cell]
Pd: 0.000 0.294 0.500 [4 per cell]
Pt: 0.000 0.127 0.000 [4 per cell]

How far above the most stable structure does each one sit? In eV/atom: version i 0.023; version ii 0.000.

Version i
The following is a DFT calculation (PBE-GGA) of an optimized crystal structure of NiSnPdPt.

Calculated density in g cm⁻³: 12.8

a b c (Å): 4.081 4.081 7.470
angles (deg): 90.00 90.00 90.00
Space group P4/nmm (No. 129, origin choice 2)
Unique sites:
Ni: 0.250 0.750 0.000 [2 per cell]
Sn: 0.250 0.250 0.240 [2 per cell]
Pd: 0.250 0.750 0.500 [2 per cell]
Pt: 0.250 0.250 0.777 [2 per cell]

Version ii
The following is a DFT calculation (PBE-GGA) of an optimized crystal structure of NiSnPdPt.

Calculated density in g cm⁻³: 12.7

a b c (Å): 6.309 6.309 6.309
angles (deg): 90.00 90.00 90.00
Space group F-43m (No. 216)
Unique sites:
Ni: 0.000 0.000 0.000 [4 per cell]
Sn: 0.000 0.000 0.500 [4 per cell]
Pd: 0.250 0.250 0.250 [4 per cell]
Pt: 0.250 0.250 0.750 [4 per cell]

How far above the most stable structure does each one sit? In eV/atom: version i 0.000; version ii 0.019.

Version i
The following is a DFT calculation (PBE-GGA) of an optimized crystal structure of PuNiPd.

Calculated density in g cm⁻³: 12.8

a b c (Å): 3.309 3.309 9.679
angles (deg): 90.00 90.00 90.00
Space group I4mm (No. 107)
Unique sites:
Pu: 0.000 0.000 0.000 [2 per cell]
Ni: 0.000 0.000 0.328 [2 per cell]
Pd: 0.000 0.000 0.696 [2 per cell]

Version ii
The following is a DFT calculation (PBE-GGA) of an optimized crystal structure of PuNiPd.

Calculated density in g cm⁻³: 12.5

a b c (Å): 3.444 16.112 3.930
angles (deg): 90.00 90.00 90.00
Space group Cmcm (No. 63)
Unique sites:
Pu: 0.000 0.108 0.250 [4 per cell]
Ni: 0.000 0.459 0.250 [4 per cell]
Pd: 0.000 0.293 0.250 [4 per cell]

How far above the most stable structure does each one sit? In eV/atom: version i 0.095; version ii 0.000.